# 1
First-principles (PBEsol) data for an optimized crystal structure of AlPt2, as listed in the Alexandria database.

Values from the calculation:
Final energy ... -6.88 eV per atom
Theoretical density ... 16.02 Mg/m³
Calculated formation energy ... -0.87 eV per atom
V ... 14.414 Å³ per atom

Lattice parameters (Å, degrees): 16.285 3.905 5.439 90.00 90.00 90.00
Fractional coordinates of all 24 atoms:
1 Al 0.000 0.000 0.000
2 Al 0.091 0.500 0.308
3 Al 0.250 0.500 0.794
4 Al 0.409 0.500 0.308
5 Al 0.500 0.000 0.000
6 Al 0.591 0.500 0.692
7 Al 0.750 0.500 0.206
8 Al 0.909 0.500 0.692
9 Pt 0.000 0.000 0.500
10 Pt 0.070 0.500 0.796
11 Pt 0.158 0.000 0.050
12 Pt 0.167 0.000 0.553
13 Pt 0.250 0.500 0.276
14 Pt 0.333 0.000 0.553
15 Pt 0.342 0.000 0.050
16 Pt 0.430 0.500 0.796
17 Pt 0.500 0.000 0.500
18 Pt 0.570 0.500 0.204
19 Pt 0.658 0.000 0.950
20 Pt 0.667 0.000 0.447
21 Pt 0.750 0.500 0.724
22 Pt 0.833 0.000 0.447
23 Pt 0.842 0.000 0.950
24 Pt 0.930 0.500 0.204

***

# 2
First-principles (PBEsol) data for an optimized crystal structure of InHO2, as listed in the Alexandria database.

Values from the calculation:
Final energy ... -4.41 eV per atom
Theoretical density ... 6.81 Mg/m³
V ... 9.009 Å³ per atom

Lattice parameters (Å, degrees): 3.708 3.708 3.708 60.00 60.00 60.00
Fractional coordinates of all 4 atoms:
1 In 0.000 0.000 0.000
2 H 0.500 0.500 0.500
3 O 0.250 0.250 0.250
4 O 0.750 0.750 0.750

***

# 3
First-principles (PBEsol) data for an optimized crystal structure of ZnIn3, as listed in the Alexandria database.

Values from the calculation:
Final energy ... -2.57 eV per atom
Theoretical density ... 7.55 Mg/m³
Calculated formation energy ... 0.06 eV per atom
V ... 22.532 Å³ per atom

Lattice parameters (Å, degrees): 3.227 3.227 8.677 90.00 90.00 94.07
Fractional coordinates of all 4 atoms:
1 Zn 0.000 0.000 0.000
2 In 0.000 0.000 0.500
3 In 0.500 0.500 0.218
4 In 0.500 0.500 0.782

***

# 4
First-principles (PBEsol) data for an optimized crystal structure of LaFeAg2, as listed in the Alexandria database.

Values from the calculation:
Final energy ... -5.08 eV per atom
Theoretical density ... 9.24 Mg/m³
Calculated formation energy ... 0.15 eV per atom
V ... 18.449 Å³ per atom

Lattice parameters (Å, degrees): 5.787 5.787 5.787 147.49 134.43 57.08
Fractional coordinates of all 4 atoms:
1 La 0.000 0.000 0.000
2 Fe 0.500 0.500 0.000
3 Ag 0.280 0.780 0.500
4 Ag 0.720 0.220 0.500

***

# 5
First-principles (PBEsol) data for an optimized crystal structure of ScFeSi2, as listed in the Alexandria database.

Values from the calculation:
Formation energy (no corrections) ... -776 meV/atom
Final energy ... -7.54 eV per atom
Theoretical density ... 4.76 Mg/m³
V ... 13.679 Å³ per atom

Lattice parameters (Å, degrees): 8.818 9.653 7.714 90.00 90.00 90.00
Fractional coordinates of all 48 atoms:
1 Sc 0.169 0.178 0.000
2 Sc 0.175 0.452 0.247
3 Sc 0.175 0.452 0.753
4 Sc 0.325 0.952 0.247
5 Sc 0.325 0.952 0.753
6 Sc 0.331 0.678 0.000
7 Sc 0.669 0.322 0.000
8 Sc 0.675 0.048 0.247
9 Sc 0.675 0.048 0.753
10 Sc 0.825 0.548 0.247
11 Sc 0.825 0.548 0.753
12 Sc 0.831 0.822 0.000
13 Fe 0.000 0.000 0.246
14 Fe 0.000 0.000 0.754
15 Fe 0.086 0.740 0.248
16 Fe 0.086 0.740 0.752
17 Fe 0.414 0.240 0.248
18 Fe 0.414 0.240 0.752
19 Fe 0.500 0.500 0.246
20 Fe 0.500 0.500 0.754
21 Fe 0.586 0.760 0.248
22 Fe 0.586 0.760 0.752
23 Fe 0.914 0.260 0.248
24 Fe 0.914 0.260 0.752
25 Si 0.036 0.622 0.000
26 Si 0.042 0.628 0.500
27 Si 0.105 0.897 0.500
28 Si 0.122 0.894 0.000
29 Si 0.161 0.179 0.346
30 Si 0.161 0.179 0.654
31 Si 0.339 0.679 0.346
32 Si 0.339 0.679 0.654
33 Si 0.378 0.394 0.000
34 Si 0.395 0.397 0.500
35 Si 0.458 0.128 0.500
36 Si 0.464 0.122 0.000
37 Si 0.536 0.878 0.000
38 Si 0.542 0.872 0.500
39 Si 0.605 0.603 0.500
40 Si 0.622 0.606 0.000
41 Si 0.661 0.321 0.346
42 Si 0.661 0.321 0.654
43 Si 0.839 0.821 0.346
44 Si 0.839 0.821 0.654
45 Si 0.878 0.106 0.000
46 Si 0.895 0.103 0.500
47 Si 0.958 0.372 0.500
48 Si 0.964 0.378 0.000

***

# 6
First-principles (PBEsol) data for an optimized crystal structure of Ca2BeRu, as listed in the Alexandria database.

Values from the calculation:
Final energy ... -4.60 eV per atom
Theoretical density ... 3.30 Mg/m³
Calculated formation energy ... 0.01 eV per atom
V ... 23.960 Å³ per atom

Lattice parameters (Å, degrees): 7.606 7.606 7.606 29.73 29.73 29.73
Fractional coordinates of all 4 atoms:
1 Ca 0.000 0.000 0.000
2 Ca 0.171 0.171 0.171
3 Be 0.419 0.419 0.419
4 Ru 0.752 0.752 0.752